DFT (PBE-GGA) results for crystalline Sr2Pr2Pd15 at its relaxed geometry.

Calculated values
ΔE_f: -843 kJ/mol of formula units
spin magnetization: 0.0 Bohr magnetons per cell

Cell: 7.2226 7.2226 7.2226 Å, 81.80 81.80 81.80°
Sites, in units of the cell vectors:
Sr 0.1372 0.1372 0.1372
Sr 0.8628 0.8628 0.8628
Pr 0.3891 0.3891 0.3891
Pr 0.6109 0.6109 0.6109
Pd 0.0000 0.5000 0.5000
Pd 0.1508 0.1508 0.6590
Pd 0.1508 0.6590 0.1508
Pd 0.1977 0.5000 0.8023
Pd 0.1977 0.8023 0.5000
Pd 0.3410 0.8492 0.8492
Pd 0.5000 0.0000 0.5000
Pd 0.5000 0.1977 0.8023
Pd 0.5000 0.5000 0.0000
Pd 0.5000 0.8023 0.1977
Pd 0.6590 0.1508 0.1508
Pd 0.8023 0.1977 0.5000
Pd 0.8023 0.5000 0.1977
Pd 0.8492 0.3410 0.8492
Pd 0.8492 0.8492 0.3410